DFT (PBE-GGA) results for a relaxed Ho8TcRh2 crystal.

Lattice parameters (Å, degrees): 8.2242 12.6955 5.7838 90.00 109.41 90.00
Space group Cm (No. 8)
Inequivalent atoms, fractional coordinates:
Ho1 0.0000 0.0000 0.0000 [2 per cell]
Ho2 0.0613 0.3746 0.7687 [4 per cell]
Ho3 0.1518 0.1259 0.5775 [4 per cell]
Ho4 0.2172 0.5000 0.3643 [2 per cell]
Ho5 0.3507 0.2136 0.1788 [4 per cell]
Tc1 0.3595 0.0000 0.2864 [2 per cell]
Rh1 0.3623 0.3087 0.6871 [4 per cell]

The value obtained for the formation energy from the elements is -0.311 eV per atom. The uncorrected energy comes out at -0.4350 Ry/atom. The calculation puts the calculated volume at 285 Å³/f.u.